(1)
A relaxed structure of SrCu2Os, computed with PBE.

abc: 4.9582 4.9582 5.4839
angles: 105.14 105.14 34.15
Last column: nearest neighbours and their distance in Å.
Element x y z (fractional)
Sr  0.0000  0.0000  0.0000  2 Sr 2.91, 7 Cu 2.95-3.23, 2 Os 3.21
Cu  0.2218  0.2218  0.7120  2 Os 2.51, 2 Cu 2.53
Cu  0.5098  0.5098  0.4797  2 Cu 2.53, 3 Os 2.58-2.74
Os  0.7767  0.7767  0.3761  5 Cu 2.51-2.74

The value obtained for the polymorph energy (0 for the lowest one) is 0.24 eV per formula unit. Its final energy is -4.697 eV/atom. The value obtained for the calculated formation energy is 578 meV per atom. The value obtained for the total magnetic moment is 0.00 Bohr magnetons per cell.


(2)
A relaxed structure of SrCu2Os, computed with PBE.

abc: 4.6568 4.6568 4.6568
angles: 60.00 60.00 60.00
Last column: nearest neighbours and their distance in Å.
Element x y z (fractional)
Sr  0.0000  0.0000  0.0000  4 Cu 2.85, 4 Os 2.85
Cu  0.5000  0.5000  0.5000  4 Os 2.85, 4 Cu 2.85
Cu  0.7500  0.7500  0.7500  4 Cu 2.85, 4 Sr 2.85
Os  0.2500  0.2500  0.2500  4 Cu 2.85, 4 Sr 2.85

The value obtained for the polymorph energy (0 for the lowest one) is 1.73 eV per formula unit. Its final energy is -4.324 eV/atom. The value obtained for the calculated formation energy is 952 meV per atom. The value obtained for the total magnetic moment is 0.70 Bohr magnetons per cell.


(3)
A relaxed structure of SrCu2Os, computed with PBE.

abc: 4.6933 4.6933 5.8670
angles: 98.01 98.01 35.54
Last column: nearest neighbours and their distance in Å.
Element x y z (fractional)
Sr  0.0000  0.0000  0.0000  2 Sr 2.86, 2 Cu 3.08
Cu  0.2330  0.2330  0.6608  2 Cu 2.42, 3 Os 2.59-2.69
Cu  0.7670  0.7670  0.3392  2 Cu 2.42, 3 Os 2.59-2.69
Os  0.5000  0.5000  0.5000  6 Cu 2.59-2.69, 2 Os 2.86

The value obtained for the polymorph energy (0 for the lowest one) is 0.07 eV per formula unit. Its final energy is -4.740 eV/atom. The value obtained for the calculated formation energy is 536 meV per atom. The value obtained for the total magnetic moment is 0.00 Bohr magnetons per cell.


(4)
A relaxed structure of SrCu2Os, computed with PBE.

abc: 5.6681 5.6681 5.6681
angles: 151.01 128.31 60.35
Last column: nearest neighbours and their distance in Å.
Element x y z (fractional)
Sr  0.0000  0.0000  0.0000  2 Sr 2.84, 6 Cu 2.85-3.05, 2 Os 3.16
Cu  0.2756  0.7756  0.5000  2 Cu 2.52
Cu  0.4886  0.4886  0.0000  2 Cu 2.52, 2 Os 2.60
Os  0.7115  0.2115  0.5000  2 Cu 2.60, 2 Os 2.84

The value obtained for the polymorph energy (0 for the lowest one) is 0.50 eV per formula unit. Its final energy is -4.632 eV/atom. The value obtained for the calculated formation energy is 644 meV per atom. The value obtained for the total magnetic moment is 0.00 Bohr magnetons per cell.


(5)
A relaxed structure of SrCu2Os, computed with PBE.

abc: 5.2630 5.2630 5.2630
angles: 135.57 135.57 64.64
Last column: nearest neighbours and their distance in Å.
Element x y z (fractional)
Sr  0.0000  0.0000  0.0000  8 Cu 2.81-2.98, 4 Os 2.98
Cu  0.2500  0.7500  0.5000  4 Os 2.81, 4 Cu 2.98, 4 Sr 2.98
Cu  0.5000  0.5000  0.0000  4 Sr 2.81, 4 Os 2.98, 4 Cu 2.98
Os  0.7500  0.2500  0.5000  8 Cu 2.81-2.98, 4 Sr 2.98

The value obtained for the polymorph energy (0 for the lowest one) is 1.09 eV per formula unit. Its final energy is -4.484 eV/atom. The value obtained for the calculated formation energy is 792 meV per atom. The value obtained for the total magnetic moment is 0.28 Bohr magnetons per cell.


(6)
A relaxed structure of SrCuOs, computed with PBE.

abc: 4.7779 4.7779 4.7779
angles: 60.00 60.00 60.00
Last column: nearest neighbours and their distance in Å.
Element x y z (fractional)
Sr  0.0000  0.0000  0.0000  4 Os 2.93, 4 Cu 2.93
Cu  0.7500  0.7500  0.7500  4 Sr 2.93
Os  0.2500  0.2500  0.2500  4 Sr 2.93

The value obtained for the polymorph energy (0 for the lowest one) is 3.86 eV per formula unit. Its final energy is -3.793 eV/atom. The value obtained for the calculated formation energy is 1876 meV per atom. The value obtained for the total magnetic moment is 1.58 Bohr magnetons per cell.


(7)
A relaxed structure of SrCuOs, computed with PBE.

abc: 5.8302 5.8302 5.8302
angles: 151.83 139.72 49.88
Last column: nearest neighbours and their distance in Å.
Element x y z (fractional)
Sr  0.0000  0.0000  0.0000  2 Sr 2.84, 1 Cu 2.94, 1 Os 3.07
Cu  0.7224  0.7224  0.0000  4 Os 2.56, 2 Cu 2.84
Os  0.2899  0.2899  0.0000  4 Cu 2.56, 2 Os 2.84

The value obtained for the polymorph energy (0 for the lowest one) is 0.00 eV per formula unit. Its final energy is -5.081 eV/atom. The value obtained for the calculated formation energy is 588 meV per atom. The value obtained for the total magnetic moment is 0.00 Bohr magnetons per cell.


(8)
A relaxed structure of SrCu2Os, computed with PBE.

abc: 2.8298 4.2637 6.1327
angles: 90.00 103.03 90.00
Last column: nearest neighbours and their distance in Å.
Element x y z (fractional)
Sr  0.0000  0.0000  0.0000  2 Sr 2.83, 5 Cu 2.85-3.08
Cu  0.6405  0.5000  0.2854  2 Os 2.54, 4 Cu 2.56-2.83
Cu  0.7514  0.0000  0.5237  4 Cu 2.56-2.83, 4 Os 2.64-2.66, 1 Sr 2.85
Os  0.3120  0.5000  0.6380  6 Cu 2.54-2.66, 2 Os 2.83

The value obtained for the polymorph energy (0 for the lowest one) is 0.06 eV per formula unit. Its final energy is -4.741 eV/atom. The value obtained for the calculated formation energy is 535 meV per atom. The value obtained for the total magnetic moment is 0.00 Bohr magnetons per cell.


(9)
A relaxed structure of SrCu2Os, computed with PBE.

abc: 2.8944 3.3440 7.2766
angles: 90.00 90.00 90.00
Last column: nearest neighbours and their distance in Å.
Element x y z (fractional)
Sr  0.0000  0.0000  0.0000  2 Sr 2.89, 4 Os 3.18, 4 Cu 3.24
Cu  0.0000  0.0000  0.4942  4 Cu 2.53, 4 Os 2.61
Cu  0.5000  0.5000  0.3247  4 Cu 2.53, 1 Os 2.63
Os  0.5000  0.5000  0.6859  5 Cu 2.61-2.63, 2 Os 2.89

The value obtained for the polymorph energy (0 for the lowest one) is 0.25 eV per formula unit. Its final energy is -4.693 eV/atom. The value obtained for the calculated formation energy is 583 meV per atom. The value obtained for the total magnetic moment is 0.00 Bohr magnetons per cell.


(10)
A relaxed structure of SrCu2Os, computed with PBE.

abc: 9.1752 9.1752 9.1752
angles: 150.44 150.44 42.30
Last column: nearest neighbours and their distance in Å.
Element x y z (fractional)
Sr  0.0000  0.0000  0.0000  4 Os 3.31, 8 Cu 3.32-3.44
Sr  0.7500  0.2500  0.5000  4 Os 3.31, 8 Cu 3.32-3.44
Cu  0.3564  0.6250  0.2314  2 Cu 2.35, 2 Os 2.44
Cu  0.3750  0.6064  0.7314  2 Cu 2.35, 2 Os 2.44
Cu  0.3936  0.1250  0.7686  2 Cu 2.35, 2 Os 2.44
Cu  0.8750  0.6436  0.2686  2 Cu 2.35, 2 Os 2.44
Os  0.2500  0.7500  0.5000  4 Cu 2.44
Os  0.5000  0.5000  0.0000  4 Cu 2.44

The value obtained for the polymorph energy (0 for the lowest one) is 0.70 eV per formula unit. Its final energy is -4.582 eV/atom. The value obtained for the calculated formation energy is 694 meV per atom. The value obtained for the total magnetic moment is 1.90 Bohr magnetons per cell.


(11)
A relaxed structure of SrCu4Os, computed with PBE.

abc: 5.0655 5.0655 5.0655
angles: 60.00 60.00 60.00
Last column: nearest neighbours and their distance in Å.
Element x y z (fractional)
Sr  0.0000  0.0000  0.0000  12 Cu 2.97, 4 Os 3.10
Cu  0.1304  0.6232  0.6232  6 Cu 2.50-2.57
Cu  0.6232  0.1304  0.6232  6 Cu 2.50-2.57
Cu  0.6232  0.6232  0.1304  6 Cu 2.50-2.57
Cu  0.6232  0.6232  0.6232  6 Cu 2.50-2.57
Os  0.2500  0.2500  0.2500  12 Cu 2.97, 4 Sr 3.10

Its final energy is -4.495 eV/atom. The value obtained for the calculated formation energy is 388 meV per atom. The value obtained for the total magnetic moment is 0.00 Bohr magnetons per cell.


(12)
A relaxed structure of Sr3CuOs, computed with PBE.

abc: 5.7507 5.7507 5.7507
angles: 90.00 90.00 90.00
Last column: nearest neighbours and their distance in Å.
Element x y z (fractional)
Sr  0.0000  0.0000  0.5000  2 Os 2.88
Sr  0.0000  0.5000  0.0000  2 Os 2.88
Sr  0.5000  0.0000  0.0000  2 Os 2.88
Cu  0.5000  0.5000  0.5000  12 Sr 4.07
Os  0.0000  0.0000  0.0000  6 Sr 2.88

The value obtained for the polymorph energy (0 for the lowest one) is 0.00 eV per formula unit. Its final energy is -3.441 eV/atom. The value obtained for the calculated formation energy is 633 meV per atom. The value obtained for the total magnetic moment is 0.97 Bohr magnetons per cell.


(13)
A relaxed structure of SrCu2Os, computed with PBE.

abc: 4.6499 4.6499 4.6499
angles: 60.00 60.00 60.00
Last column: nearest neighbours and their distance in Å.
Element x y z (fractional)
Sr  0.0000  0.0000  0.0000  8 Cu 2.85
Cu  0.2500  0.2500  0.2500  4 Os 2.85, 4 Sr 2.85
Cu  0.7500  0.7500  0.7500  4 Os 2.85, 4 Sr 2.85
Os  0.5000  0.5000  0.5000  8 Cu 2.85

The value obtained for the polymorph energy (0 for the lowest one) is 0.80 eV per formula unit. Its final energy is -4.557 eV/atom. The value obtained for the calculated formation energy is 719 meV per atom. The value obtained for the total magnetic moment is 0.75 Bohr magnetons per cell.


(14)
A relaxed structure of SrCuOs, computed with PBE.

abc: 4.5673 4.5673 4.5673
angles: 60.00 60.00 60.00
Last column: nearest neighbours and their distance in Å.
Element x y z (fractional)
Sr  0.0000  0.0000  0.0000  4 Cu 2.80
Cu  0.2500  0.2500  0.2500  4 Os 2.80, 4 Sr 2.80
Os  0.5000  0.5000  0.5000  4 Cu 2.80

The value obtained for the polymorph energy (0 for the lowest one) is 1.53 eV per formula unit. Its final energy is -4.571 eV/atom. The value obtained for the calculated formation energy is 1099 meV per atom. The value obtained for the total magnetic moment is 1.19 Bohr magnetons per cell.


(15)
A relaxed structure of SrTlCu2Os, computed with PBE.

abc: 5.4296 5.4296 5.5674
angles: 90.00 90.00 90.00
Last column: nearest neighbours and their distance in Å.
Element x y z (fractional)
Sr  0.0000  0.0000  0.0000  4 Cu 2.71, 2 Os 2.78
Tl  0.5000  0.5000  0.5000  4 Os 3.84, 8 Cu 3.89
Cu  0.0000  0.5000  0.0000  2 Sr 2.71
Cu  0.5000  0.0000  0.0000  2 Sr 2.71
Os  0.0000  0.0000  0.5000  2 Sr 2.78

Its final energy is -2.819 eV/atom. The value obtained for the calculated formation energy is 1875 meV per atom. The value obtained for the total magnetic moment is 3.00 Bohr magnetons per cell.


(16)
A relaxed structure of SrZrCu2Os, computed with PBE.

abc: 4.8079 4.8079 5.1749
angles: 90.00 90.00 90.00
Last column: nearest neighbours and their distance in Å.
Element x y z (fractional)
Sr  0.0000  0.0000  0.0000  2 Os 2.59
Zr  0.5000  0.5000  0.0000  4 Sr 3.40, 8 Cu 3.53
Cu  0.0000  0.5000  0.5000  2 Os 2.40
Cu  0.5000  0.0000  0.5000  2 Os 2.40
Os  0.0000  0.0000  0.5000  4 Cu 2.40, 2 Sr 2.59

Its final energy is -4.640 eV/atom. The value obtained for the calculated formation energy is 1291 meV per atom. The value obtained for the total magnetic moment is 1.82 Bohr magnetons per cell.


(17)
A relaxed structure of Ta4CuOs, computed with PBE.

abc: 5.3106 5.3106 5.3106
angles: 60.00 60.00 60.00
Last column: nearest neighbours and their distance in Å.
Element x y z (fractional)
Ta  0.1243  0.1243  0.1243  6 Ta 2.64-2.67
Ta  0.1243  0.1243  0.6272  6 Ta 2.64-2.67
Ta  0.1243  0.6272  0.1243  6 Ta 2.64-2.67
Ta  0.6272  0.1243  0.1243  6 Ta 2.64-2.67
Cu  0.5000  0.5000  0.5000  12 Ta 3.12, 4 Os 3.25
Os  0.7500  0.7500  0.7500  12 Ta 3.11, 4 Cu 3.25

Its final energy is -9.887 eV/atom. The value obtained for the calculated formation energy is 570 meV per atom. The value obtained for the total magnetic moment is 0.00 Bohr magnetons per cell.


(18)
A relaxed structure of TaCu3Os, computed with PBE.

abc: 4.4969 4.4969 4.4969
angles: 90.00 90.00 90.00
Last column: nearest neighbours and their distance in Å.
Element x y z (fractional)
Ta  0.0000  0.0000  0.0000  12 Cu 3.18
Cu  0.0000  0.5000  0.5000  2 Os 2.25
Cu  0.5000  0.0000  0.5000  2 Os 2.25
Cu  0.5000  0.5000  0.0000  2 Os 2.25
Os  0.5000  0.5000  0.5000  6 Cu 2.25

The value obtained for the polymorph energy (0 for the lowest one) is 0.00 eV per formula unit. Its final energy is -5.407 eV/atom. The value obtained for the calculated formation energy is 1668 meV per atom. The value obtained for the total magnetic moment is 0.00 Bohr magnetons per cell.


(19)
A relaxed structure of TaCuOs4, computed with PBE.

abc: 5.1249 5.1249 5.1249
angles: 60.00 60.00 60.00
Last column: nearest neighbours and their distance in Å.
Element x y z (fractional)
Ta  0.0000  0.0000  0.0000  12 Os 3.01, 4 Cu 3.14
Cu  0.7500  0.7500  0.7500  12 Os 3.00, 4 Ta 3.14
Os  0.3754  0.3754  0.3754  6 Os 2.55-2.57
Os  0.3754  0.3754  0.8738  6 Os 2.55-2.57
Os  0.3754  0.8738  0.3754  6 Os 2.55-2.57
Os  0.8738  0.3754  0.3754  6 Os 2.55-2.57

Its final energy is -9.772 eV/atom. The value obtained for the calculated formation energy is 372 meV per atom. The value obtained for the total magnetic moment is 0.00 Bohr magnetons per cell.


(20)
A relaxed structure of TaCu2Os, computed with PBE.

abc: 9.7648 9.7648 9.7648
angles: 158.52 158.52 30.55
Last column: nearest neighbours and their distance in Å.
Element x y z (fractional)
Ta  0.0000  0.0000  0.0000  4 Os 2.57, 4 Cu 2.71
Ta  0.7500  0.2500  0.5000  4 Os 2.57, 4 Cu 2.71
Cu  0.1425  0.6250  0.0175  4 Cu 2.48-2.66, 2 Os 2.66, 2 Ta 2.71
Cu  0.3750  0.3925  0.5175  4 Cu 2.48-2.66, 2 Os 2.66, 2 Ta 2.71
Cu  0.6075  0.1250  0.9825  4 Cu 2.48-2.66, 2 Os 2.66, 2 Ta 2.71
Cu  0.8750  0.8575  0.4825  4 Cu 2.48-2.66, 2 Os 2.66, 2 Ta 2.71
Os  0.2500  0.7500  0.5000  4 Ta 2.57, 4 Cu 2.66
Os  0.5000  0.5000  0.0000  4 Ta 2.57, 4 Cu 2.66

The value obtained for the polymorph energy (0 for the lowest one) is 1.76 eV per formula unit. Its final energy is -7.377 eV/atom. The value obtained for the calculated formation energy is 442 meV per atom. The value obtained for the total magnetic moment is 0.00 Bohr magnetons per cell.